{"formula": "HfCr4Mo", "functional": "PBE-GGA", "state": "optimized geometry", "dos_at_fermi_per_ev_atom": 0.7515, "sg": "F-43m (216)", "dft_energy_ev_per_atom": -9.92, "cell": [[-0.379, -4.893, -0.195], [2.743, -2.796, 2.964], [-2.101, -2.450, 3.703]], "species": ["Cr", "Cr", "Cr", "Cr", "Mo", "Hf"], "frac_coords": [[0.626, 0.626, 0.123], [0.626, 0.123, 0.626], [0.626, 0.626, 0.626], [0.123, 0.626, 0.626], [0.000, 0.000, 0.000], [0.250, 0.250, 0.250]]}